[1]
# In4AgSn4

A relaxed structure of In4AgSn4 (PBE, Alexandria).

Cell: 7.758 7.758 7.758 Å, 132.90 132.90 68.81°
Fractional coordinates of all 9 atoms:
In: 0.112 0.709 0.000
In: 0.291 0.291 0.402
In: 0.709 0.112 0.000
In: 0.888 0.888 0.598
Ag: 0.500 0.500 0.000
Sn: 0.104 0.104 0.545
Sn: 0.442 0.896 0.000
Sn: 0.558 0.558 0.455
Sn: 0.896 0.442 0.000

Output
Its space group is I-42m. As for the density of states at the Fermi level: 0.57 states/eV/atom. As for the uncorrected energy: -3.23 eV/atom. Its magnetic moment is 0.0 Bohr magnetons per cell.

---

[2]
# Pm2Nd3Se6

A relaxed structure of Pm2Nd3Se6 (PBE, Alexandria).

Cell: 20.790 20.790 20.790 Å, 11.75 11.75 11.75°
Fractional coordinates of all 11 atoms:
Pm: 0.053 0.053 0.053
Pm: 0.947 0.947 0.947
Nd: 0.221 0.221 0.221
Nd: 0.500 0.500 0.500
Nd: 0.779 0.779 0.779
Se: 0.139 0.139 0.139
Se: 0.303 0.303 0.303
Se: 0.417 0.417 0.417
Se: 0.583 0.583 0.583
Se: 0.697 0.697 0.697
Se: 0.861 0.861 0.861

Output
Its space group is R-3m. As for the density of states at the Fermi level: 0.43 states/eV/atom. As for the uncorrected energy: -5.88 eV/atom. Its magnetic moment is 0.0 Bohr magnetons per cell.

---

[3]
# ZnTeP

A relaxed structure of ZnTeP (PBE, Alexandria).

Cell: 4.592 4.592 4.592 Å, 60.00 60.00 60.00°
Fractional coordinates of all 3 atoms:
Zn: 0.000 0.000 0.000
Te: 0.250 0.250 0.250
P: 0.750 0.750 0.750

Output
Its space group is F-43m. As for the density of states at the Fermi level: 0.66 states/eV/atom. As for the uncorrected energy: -2.85 eV/atom. Its magnetic moment is 0.0 Bohr magnetons per cell.

---

[4]
# MnRu2Pt

A relaxed structure of MnRu2Pt (PBE, Alexandria).

Cell: 6.541 6.541 6.541 Å, 130.83 130.83 72.08°
Fractional coordinates of all 8 atoms:
Mn: 0.000 0.000 0.000
Mn: 0.750 0.250 0.500
Ru: 0.091 0.625 0.966
Ru: 0.375 0.341 0.466
Ru: 0.659 0.125 0.034
Ru: 0.875 0.909 0.534
Pt: 0.250 0.750 0.500
Pt: 0.500 0.500 0.000

Output
Its space group is I-42d. As for the density of states at the Fermi level: 1.05 states/eV/atom. As for the uncorrected energy: -7.41 eV/atom. Its magnetic moment is 0.0 Bohr magnetons per cell.